(1)
A plane-wave DFT calculation with PBE-GGA was carried out for a relaxed structure of Ca2LaTe3.

a b c (Å): 9.0735 12.8312 27.1854
angles (deg): 90.00 90.00 90.00
Space group Fddd (No. 70, origin choice 2)
Asymmetric unit:
Ca: 0.1250 0.1250 0.0411 x16
Ca: 0.1250 0.1250 0.3758 x16
La: 0.1250 0.1250 0.5420 x16
Te: 0.1186 0.3750 0.3750 x16
Te: 0.1220 0.3721 0.2072 x32

## Properties
Formation energy (no corrections): -9.59 eV/f.u.
Excess energy over the best structure of this formula in the dataset: 0 meV per atom
Total moment: 0.00 μB per formula unit


(2)
A plane-wave DFT calculation with PBE-GGA was carried out for a relaxed structure of Mg2TlSi2.

a b c (Å): 8.3337 8.3337 2.9699
angles (deg): 90.00 90.00 90.00
Space group P4/mbm (No. 127)
Asymmetric unit:
Mg: 0.1381 0.3619 0.0000 x4
Tl: 0.0000 0.0000 0.5000 x2
Si: 0.1569 0.6569 0.5000 x4

## Properties
Formation energy (no corrections): 0.70 eV/f.u.
Excess energy over the best structure of this formula in the dataset: 83 meV per atom
Total moment: 0.00 μB per formula unit


(3)
A plane-wave DFT calculation with PBE-GGA was carried out for a relaxed structure of Pm7PrTm3.

a b c (Å): 6.5558 6.7514 8.7449
angles (deg): 99.75 99.04 95.81
Space group P-1 (No. 2)
Asymmetric unit:
Pm: 0.0000 0.0000 0.0000 x1
Pm: 0.0510 0.7104 0.6403 x2
Pm: 0.2224 0.2227 0.7100 x2
Pm: 0.4850 0.7400 0.9110 x2
Pr: 0.0000 0.5000 0.0000 x1
Tm: 0.3108 0.9315 0.3393 x2
Tm: 0.5000 0.5000 0.5000 x1

## Properties
Excess energy over the best structure of this formula in the dataset: 0 meV per atom
Total moment: 0.00 μB per formula unit
Calculated formation energy: 0.134 eV/atom


(4)
A plane-wave DFT calculation with PBE-GGA was carried out for a relaxed structure of Pr2DyThTe5.

a b c (Å): 5.5096 5.5096 11.8431
angles (deg): 90.00 90.00 90.00
Space group P4/mmm (No. 123)
Asymmetric unit:
Pr: 0.0000 0.0000 0.1581 x2
Dy: 0.5000 0.5000 0.0000 x1
Th: 0.5000 0.5000 0.5000 x1
Te: 0.0000 0.0000 0.5000 x1
Te: 0.0000 0.5000 0.0000 x2
Te: 0.5000 0.5000 0.2524 x2

## Properties
Formation energy (no corrections): -6.40 eV/f.u.
Total moment: 0.44 μB per formula unit


(5)
A plane-wave DFT calculation with PBE-GGA was carried out for a relaxed structure of Na4BO4.

a b c (Å): 5.4157 5.4157 9.4167
angles (deg): 90.00 90.00 90.00
Space group I-42m (No. 121)
Asymmetric unit:
Na: 0.0000 0.0000 0.2078 x4
Na: 0.0000 0.5000 0.0000 x4
B: 0.0000 0.0000 0.5000 x2
O: 0.1618 0.1618 0.5919 x8

## Properties
Formation energy (no corrections): -13.83 eV/f.u.
Excess energy over the best structure of this formula in the dataset: 0 meV per atom
Total moment: 1.01 μB per formula unit


(6)
A plane-wave DFT calculation with PBE-GGA was carried out for a relaxed structure of LaZrAs2.

a b c (Å): 4.1330 4.1330 5.8002
angles (deg): 90.00 90.00 90.00
Space group P4/mmm (No. 123)
Asymmetric unit:
La: 0.0000 0.0000 0.0000 x1
Zr: 0.5000 0.5000 0.5000 x1
As: 0.0000 0.0000 0.5000 x1
As: 0.5000 0.5000 0.0000 x1

## Properties
Excess energy over the best structure of this formula in the dataset: 163 meV per atom
Total moment: 0.00 μB per formula unit
Calculated formation energy: -1.177 eV/atom